Run P
Density functional theory data (PBE) for a geometry-optimized TiV2Rh2 structure.

a b c (Å): 7.320 7.320 2.750
angles (deg): 90.00 90.00 90.00
Space group P4/mbm (No. 127)
Inequivalent atoms, fractional coordinates:
Ti  0.000  0.000  0.000 x2
V  0.152  0.348  0.000 x4
Rh  0.147  0.647  0.500 x4

Output
Fermi-level density of states: 1.062 states/eV/atom
Spin magnetization: 0.0 μB per formula unit


Run Q
Density functional theory data (PBE) for a geometry-optimized TiV2Rh2 structure.

a b c (Å): 7.294 7.294 2.796
angles (deg): 90.00 90.00 90.00
Space group P4/mbm (No. 127)
Inequivalent atoms, fractional coordinates:
Ti  0.000  0.000  0.000 x2
V  0.165  0.335  0.500 x4
Rh  0.134  0.634  0.000 x4

Output
Fermi-level density of states: 1.552 states/eV/atom
Spin magnetization: 1.0 μB per formula unit


Which of them is the most stable? Correct choice: run P.


Run P
Density functional theory data (PBE) for a geometry-optimized TiVRh structure.

a b c (Å): 4.238 13.259 3.075
angles (deg): 90.00 90.00 90.00
Space group Cmmm (No. 65)
Inequivalent atoms, fractional coordinates:
Ti  0.000  0.162  0.000 x4
V  0.000  0.000  0.500 x2
V  0.000  0.500  0.000 x2
Rh  0.000  0.332  0.500 x4

Output
Fermi-level density of states: 0.625 states/eV/atom
Spin magnetization: 0.0 μB per formula unit


Run Q
Density functional theory data (PBE) for a geometry-optimized TiVRh structure.

a b c (Å): 4.779 2.722 6.818
angles (deg): 90.00 90.00 90.00
Space group Pmma (No. 51)
Inequivalent atoms, fractional coordinates:
Ti  0.250  0.000  0.140 x2
V  0.000  0.000  0.500 x2
Rh  0.250  0.500  0.801 x2

Output
Fermi-level density of states: 1.443 states/eV/atom
Spin magnetization: 0.0 μB per formula unit


Run R
Density functional theory data (PBE) for a geometry-optimized TiVRh structure.

a b c (Å): 2.751 14.117 4.660
angles (deg): 90.00 90.00 90.00
Space group Cmcm (No. 63)
Inequivalent atoms, fractional coordinates:
Ti  0.000  0.185  0.250 x4
V  0.000  0.000  0.000 x4
Rh  0.000  0.360  0.250 x4

Output
Fermi-level density of states: 1.381 states/eV/atom
Spin magnetization: 0.0 μB per formula unit


Run S
Density functional theory data (PBE) for a geometry-optimized TiVRh structure.

a b c (Å): 3.045 3.045 9.390
angles (deg): 90.00 90.00 90.00
Space group I4mm (No. 107)
Inequivalent atoms, fractional coordinates:
Ti  0.000  0.000  0.000 x2
V  0.000  0.000  0.666 x2
Rh  0.000  0.000  0.329 x2

Output
Fermi-level density of states: 0.912 states/eV/atom
Spin magnetization: 0.0 μB per formula unit


Which of them is the most stable? Correct choice: run P.


Run P
Density functional theory data (PBE) for a geometry-optimized TiVRh5 structure.

a b c (Å): 3.965 3.965 6.699
angles (deg): 90.00 90.00 90.00
Space group P4/mmm (No. 123)
Inequivalent atoms, fractional coordinates:
Ti  0.000  0.000  0.000 x1
V  0.500  0.500  0.500 x1
Rh  0.000  0.500  0.282 x4
Rh  0.500  0.500  0.000 x1

Output
Fermi-level density of states: 0.985 states/eV/atom
Spin magnetization: 0.0 μB per formula unit


Run Q
Density functional theory data (PBE) for a geometry-optimized TiVRh5 structure.

a b c (Å): 9.086 5.473 8.926
angles (deg): 90.00 105.59 90.00
Space group C2/c (No. 15)
Inequivalent atoms, fractional coordinates:
Ti  0.000  0.125  0.250 x4
V  0.250  0.250  0.000 x4
Rh  0.000  0.331  0.750 x4
Rh  0.106  0.337  0.494 x8
Rh  0.249  0.081  0.735 x8

Output
Fermi-level density of states: 0.852 states/eV/atom
Spin magnetization: 0.0 μB per formula unit


Which of them is the most stable? Correct choice: run P.